# NaCu2Au

NaCu2Au after structural relaxation (GGA-PBE, the Alexandria database).

Values from the calculation:
The value obtained for the density of states at the Fermi level is 0.2887 states/eV/atom. The energy relative to the lowest polymorph listed for this composition is 0.0 kJ/mol of formula units. The value obtained for the final energy is -3.11 eV/atom. The calculation puts the calculated formation energy at 0.084 eV per atom.

Lattice parameters (Å, degrees): 6.3232 6.3232 6.3232 90.00 90.00 90.00
Space group Fm-3m (No. 225)
Inequivalent atoms, fractional coordinates:
Na  0.0000  0.0000  0.0000 x4
Cu  0.2500  0.2500  0.2500 x8
Au  0.0000  0.0000  0.5000 x4